1.
This record from OQMD describes a relaxed CuSbMo4C2 crystal. The functional is PBE.

Lattice parameters (Å, degrees): 3.158 3.158 12.969 90.00 90.00 120.00
Sites, in units of the cell vectors:
Cu (0.000, 0.000, 0.000)
Sb (0.667, 0.333, 0.500)
Mo (0.000, 0.000, 0.326)
Mo (0.000, 0.000, 0.674)
Mo (0.667, 0.333, 0.155)
Mo (0.667, 0.333, 0.845)
C (0.333, 0.667, 0.239)
C (0.333, 0.667, 0.761)

Computed properties:
Density ... 8.79 Mg/m³
SG ... P-6m2 (187)
Magnetic moment ... 0.00 μB/atom

---

2.
This record from OQMD describes a relaxed CuSiMo4C2 crystal. The functional is PBE.

Lattice parameters (Å, degrees): 3.099 3.099 12.512 90.00 90.00 120.00
Sites, in units of the cell vectors:
Cu (0.000, 0.000, 0.000)
Si (0.333, 0.667, 0.500)
Mo (0.000, 0.000, 0.350)
Mo (0.000, 0.000, 0.650)
Mo (0.333, 0.667, 0.165)
Mo (0.333, 0.667, 0.835)
C (0.667, 0.333, 0.251)
C (0.667, 0.333, 0.749)

Computed properties:
Density ... 7.97 Mg/m³
SG ... P-6m2 (187)
Magnetic moment ... 0.00 μB/atom

---

3.
This record from OQMD describes a relaxed CuSnMo4C2 crystal. The functional is PBE.

Lattice parameters (Å, degrees): 3.133 3.133 13.171 90.00 90.00 120.00
Sites, in units of the cell vectors:
Cu (0.000, 0.000, 0.000)
Sn (0.667, 0.333, 0.500)
Mo (0.000, 0.000, 0.324)
Mo (0.000, 0.000, 0.676)
Mo (0.667, 0.333, 0.154)
Mo (0.667, 0.333, 0.846)
C (0.333, 0.667, 0.238)
C (0.333, 0.667, 0.762)

Computed properties:
Density ... 8.75 Mg/m³
SG ... P-6m2 (187)
Magnetic moment ... 0.00 μB/atom

---

4.
This record from OQMD describes a relaxed Cu3Mo4W2C3 crystal. The functional is PBE.

Lattice parameters (Å, degrees): 5.324 5.324 13.168 101.63 101.63 59.99
Sites, in units of the cell vectors:
Cu (0.101, 0.899, 0.750)
Cu (0.268, 0.417, 0.251)
Cu (0.417, 0.268, 0.751)
Cu (0.583, 0.732, 0.249)
Cu (0.732, 0.583, 0.749)
Cu (0.899, 0.101, 0.250)
Mo (0.034, 0.192, 0.589)
Mo (0.132, 0.304, 0.911)
Mo (0.192, 0.034, 0.089)
Mo (0.304, 0.132, 0.411)
Mo (0.696, 0.868, 0.589)
Mo (0.808, 0.966, 0.911)
Mo (0.868, 0.696, 0.089)
Mo (0.966, 0.808, 0.411)
W (0.359, 0.528, 0.587)
W (0.472, 0.641, 0.913)
W (0.528, 0.359, 0.087)
W (0.641, 0.472, 0.413)
C (0.000, 0.500, 0.500)
C (0.170, 0.665, 0.000)
C (0.335, 0.830, 0.500)
C (0.500, 0.000, 0.000)
C (0.665, 0.170, 0.500)
C (0.830, 0.335, 0.000)

Computed properties:
Density ... 10.33 Mg/m³
SG ... C2/c (15)
Magnetic moment ... 0.00 μB/atom

---

5.
This record from OQMD describes a relaxed Zr2Cu3Mo4C3 crystal. The functional is PBE.

Lattice parameters (Å, degrees): 5.362 5.362 13.592 101.89 101.89 60.06
Sites, in units of the cell vectors:
Zr (0.041, 0.877, 0.615)
Zr (0.123, 0.959, 0.885)
Zr (0.877, 0.041, 0.115)
Zr (0.959, 0.123, 0.385)
Cu (0.087, 0.398, 0.752)
Cu (0.398, 0.087, 0.252)
Cu (0.429, 0.571, 0.250)
Cu (0.571, 0.429, 0.750)
Cu (0.602, 0.913, 0.748)
Cu (0.913, 0.602, 0.248)
Mo (0.194, 0.354, 0.082)
Mo (0.296, 0.481, 0.418)
Mo (0.354, 0.194, 0.582)
Mo (0.481, 0.296, 0.918)
Mo (0.519, 0.704, 0.082)
Mo (0.646, 0.806, 0.418)
Mo (0.704, 0.519, 0.582)
Mo (0.806, 0.646, 0.918)
C (0.000, 0.500, 0.500)
C (0.166, 0.668, 0.000)
C (0.332, 0.834, 0.500)
C (0.500, 0.000, 0.000)
C (0.668, 0.166, 0.500)
C (0.834, 0.332, 0.000)

Computed properties:
Density ... 8.01 Mg/m³
SG ... C2/c (15)
Magnetic moment ... 0.00 μB/atom

---

6.
This record from OQMD describes a relaxed CuC8N6 crystal. The functional is PBE.

Lattice parameters (Å, degrees): 7.203 5.447 10.674 90.00 90.00 90.00
Sites, in units of the cell vectors:
Cu (0.000, 0.000, 0.000)
Cu (0.500, 0.000, 0.500)
C (0.000, 0.398, 0.266)
C (0.000, 0.403, 0.650)
C (0.000, 0.597, 0.350)
C (0.000, 0.602, 0.734)
C (0.165, 0.298, 0.609)
C (0.165, 0.702, 0.391)
C (0.335, 0.298, 0.891)
C (0.335, 0.702, 0.109)
C (0.500, 0.398, 0.234)
C (0.500, 0.403, 0.850)
C (0.500, 0.597, 0.150)
C (0.500, 0.602, 0.766)
C (0.665, 0.298, 0.891)
C (0.665, 0.702, 0.109)
C (0.835, 0.298, 0.609)
C (0.835, 0.702, 0.391)
N (0.000, 0.233, 0.196)
N (0.000, 0.767, 0.804)
N (0.199, 0.209, 0.931)
N (0.199, 0.791, 0.069)
N (0.301, 0.209, 0.569)
N (0.301, 0.791, 0.431)
N (0.500, 0.233, 0.304)
N (0.500, 0.767, 0.696)
N (0.699, 0.209, 0.569)
N (0.699, 0.791, 0.431)
N (0.801, 0.209, 0.931)
N (0.801, 0.791, 0.069)

Computed properties:
Density ... 1.93 Mg/m³
SG ... Pmna (53)

---

7.
This record from OQMD describes a relaxed CuCSeN crystal. The functional is PBE.

Lattice parameters (Å, degrees): 4.004 4.004 11.287 90.00 90.00 120.00
Sites, in units of the cell vectors:
Cu (0.333, 0.667, 0.000)
Cu (0.667, 0.333, 0.500)
C (0.333, 0.667, 0.272)
C (0.667, 0.333, 0.772)
Se (0.333, 0.667, 0.434)
Se (0.667, 0.333, 0.934)
N (0.333, 0.667, 0.168)
N (0.667, 0.333, 0.668)

Computed properties:
Density ... 3.57 Mg/m³
SG ... P6_3mc (186)

---

8.
This record from OQMD describes a relaxed Ta8Cu2C3N3 crystal. The functional is PBE.

Lattice parameters (Å, degrees): 3.142 3.142 23.274 90.00 90.00 120.00
Sites, in units of the cell vectors:
Ta (0.000, 0.000, 0.159)
Ta (0.000, 0.000, 0.336)
Ta (0.000, 0.000, 0.664)
Ta (0.000, 0.000, 0.841)
Ta (0.333, 0.667, 0.557)
Ta (0.333, 0.667, 0.941)
Ta (0.667, 0.333, 0.059)
Ta (0.667, 0.333, 0.443)
Cu (0.333, 0.667, 0.754)
Cu (0.667, 0.333, 0.246)
C (0.000, 0.000, 0.500)
C (0.333, 0.667, 0.387)
C (0.667, 0.333, 0.613)
N (0.000, 0.000, 0.000)
N (0.333, 0.667, 0.111)
N (0.667, 0.333, 0.889)

Computed properties:
Density ... 13.79 Mg/m³
SG ... P-3m1 (164)
Magnetic moment ... 0.00 μB/atom

---

9.
This record from OQMD describes a relaxed Ta3CuCN crystal. The functional is PBE.

Lattice parameters (Å, degrees): 3.124 3.124 18.261 90.00 90.00 120.00
Sites, in units of the cell vectors:
Ta (0.000, 0.000, 0.000)
Ta (0.000, 0.000, 0.500)
Ta (0.333, 0.667, 0.137)
Ta (0.333, 0.667, 0.363)
Ta (0.667, 0.333, 0.637)
Ta (0.667, 0.333, 0.863)
Cu (0.000, 0.000, 0.249)
Cu (0.000, 0.000, 0.751)
C (0.333, 0.667, 0.574)
C (0.667, 0.333, 0.426)
N (0.333, 0.667, 0.930)
N (0.667, 0.333, 0.070)

Computed properties:
Density ... 13.61 Mg/m³
SG ... P-3m1 (164)
Magnetic moment ... 0.00 μB/atom

---

10.
This record from OQMD describes a relaxed CuW3CN crystal. The functional is PBE.

Lattice parameters (Å, degrees): 3.053 3.053 18.111 90.00 90.00 120.00
Sites, in units of the cell vectors:
Cu (0.000, 0.000, 0.246)
Cu (0.000, 0.000, 0.754)
W (0.000, 0.000, 0.000)
W (0.000, 0.000, 0.500)
W (0.333, 0.667, 0.133)
W (0.333, 0.667, 0.364)
W (0.667, 0.333, 0.636)
W (0.667, 0.333, 0.867)
C (0.333, 0.667, 0.572)
C (0.667, 0.333, 0.428)
N (0.333, 0.667, 0.932)
N (0.667, 0.333, 0.068)

Computed properties:
Density ... 14.56 Mg/m³
SG ... P-3m1 (164)
Magnetic moment ... 0.00 μB/atom

---

11.
This record from OQMD describes a relaxed Cu2W8C3N3 crystal. The functional is PBE.

Lattice parameters (Å, degrees): 3.073 3.073 23.016 90.00 90.00 120.00
Sites, in units of the cell vectors:
Cu (0.333, 0.667, 0.250)
Cu (0.667, 0.333, 0.750)
W (0.000, 0.000, 0.159)
W (0.000, 0.000, 0.339)
W (0.000, 0.000, 0.661)
W (0.000, 0.000, 0.841)
W (0.333, 0.667, 0.059)
W (0.333, 0.667, 0.447)
W (0.667, 0.333, 0.553)
W (0.667, 0.333, 0.941)
C (0.000, 0.000, 0.000)
C (0.333, 0.667, 0.887)
C (0.667, 0.333, 0.113)
N (0.000, 0.000, 0.500)
N (0.333, 0.667, 0.608)
N (0.667, 0.333, 0.392)

Computed properties:
Density ... 14.78 Mg/m³
SG ... P-3m1 (164)
Magnetic moment ... 0.00 μB/atom

---

12.
This record from OQMD describes a relaxed Y4Cu2CN crystal. The functional is PBE.

Lattice parameters (Å, degrees): 3.598 3.598 13.725 90.00 90.00 120.00
Sites, in units of the cell vectors:
Y (0.333, 0.667, 0.099)
Y (0.333, 0.667, 0.403)
Y (0.667, 0.333, 0.597)
Y (0.667, 0.333, 0.901)
Cu (0.333, 0.667, 0.746)
Cu (0.667, 0.333, 0.254)
C (0.000, 0.000, 0.000)
N (0.000, 0.000, 0.500)

Computed properties:
Density ... 5.49 Mg/m³
SG ... P-3m1 (164)
Magnetic moment ... 0.01 μB/atom

---

13.
This record from OQMD describes a relaxed Y3CuCN crystal. The functional is PBE.

Lattice parameters (Å, degrees): 3.567 3.567 19.536 90.00 90.00 120.00
Sites, in units of the cell vectors:
Y (0.000, 0.000, 0.000)
Y (0.000, 0.000, 0.500)
Y (0.333, 0.667, 0.139)
Y (0.333, 0.667, 0.357)
Y (0.667, 0.333, 0.643)
Y (0.667, 0.333, 0.861)
Cu (0.000, 0.000, 0.244)
Cu (0.000, 0.000, 0.756)
C (0.333, 0.667, 0.581)
C (0.667, 0.333, 0.419)
N (0.333, 0.667, 0.926)
N (0.667, 0.333, 0.074)

Computed properties:
Density ... 5.50 Mg/m³
SG ... P-3m1 (164)
Magnetic moment ... 0.00 μB/atom

---

14.
This record from OQMD describes a relaxed Y8Cu2C3N3 crystal. The functional is PBE.

Lattice parameters (Å, degrees): 3.543 3.543 25.457 90.00 90.00 120.00
Sites, in units of the cell vectors:
Y (0.000, 0.000, 0.161)
Y (0.000, 0.000, 0.331)
Y (0.000, 0.000, 0.669)
Y (0.000, 0.000, 0.839)
Y (0.333, 0.667, 0.558)
Y (0.333, 0.667, 0.946)
Y (0.667, 0.333, 0.054)
Y (0.667, 0.333, 0.442)
Cu (0.333, 0.667, 0.757)
Cu (0.667, 0.333, 0.243)
C (0.000, 0.000, 0.500)
C (0.333, 0.667, 0.378)
C (0.667, 0.333, 0.622)
N (0.000, 0.000, 0.000)
N (0.333, 0.667, 0.113)
N (0.667, 0.333, 0.887)

Computed properties:
Density ... 5.50 Mg/m³
SG ... P-3m1 (164)
Magnetic moment ... 0.00 μB/atom

---

15.
This record from OQMD describes a relaxed Zr4Cu2CN crystal. The functional is PBE.

Lattice parameters (Å, degrees): 3.295 3.295 13.548 90.00 90.00 120.00
Sites, in units of the cell vectors:
Zr (0.333, 0.667, 0.097)
Zr (0.333, 0.667, 0.405)
Zr (0.667, 0.333, 0.595)
Zr (0.667, 0.333, 0.903)
Cu (0.333, 0.667, 0.747)
Cu (0.667, 0.333, 0.253)
C (0.000, 0.000, 0.000)
N (0.000, 0.000, 0.500)

Computed properties:
Density ... 6.75 Mg/m³
SG ... P-3m1 (164)
Magnetic moment ... 0.00 μB/atom

---

16.
This record from OQMD describes a relaxed Zr3CuCN crystal. The functional is PBE.

Lattice parameters (Å, degrees): 3.312 3.312 18.721 90.00 90.00 120.00
Sites, in units of the cell vectors:
Zr (0.000, 0.000, 0.000)
Zr (0.000, 0.000, 0.500)
Zr (0.333, 0.667, 0.139)
Zr (0.333, 0.667, 0.359)
Zr (0.667, 0.333, 0.641)
Zr (0.667, 0.333, 0.861)
Cu (0.000, 0.000, 0.246)
Cu (0.000, 0.000, 0.754)
C (0.333, 0.667, 0.576)
C (0.667, 0.333, 0.424)
N (0.333, 0.667, 0.929)
N (0.667, 0.333, 0.071)

Computed properties:
Density ... 6.78 Mg/m³
SG ... P-3m1 (164)
Magnetic moment ... 0.00 μB/atom

---

17.
This record from OQMD describes a relaxed Zr8Cu2C3N3 crystal. The functional is PBE.

Lattice parameters (Å, degrees): 3.304 3.304 24.135 90.00 90.00 120.00
Sites, in units of the cell vectors:
Zr (0.000, 0.000, 0.163)
Zr (0.000, 0.000, 0.334)
Zr (0.000, 0.000, 0.666)
Zr (0.000, 0.000, 0.837)
Zr (0.333, 0.667, 0.555)
Zr (0.333, 0.667, 0.944)
Zr (0.667, 0.333, 0.056)
Zr (0.667, 0.333, 0.445)
Cu (0.333, 0.667, 0.753)
Cu (0.667, 0.333, 0.247)
C (0.000, 0.000, 0.500)
C (0.333, 0.667, 0.384)
C (0.667, 0.333, 0.616)
N (0.000, 0.000, 0.000)
N (0.333, 0.667, 0.110)
N (0.667, 0.333, 0.890)

Computed properties:
Density ... 6.80 Mg/m³
SG ... P-3m1 (164)
Magnetic moment ... 0.00 μB/atom

---

For each record above, in turn, the calculated VASP energy values are -68.51 -70.83 -68.65 -211.89 -203.34 -238.16 -47.40 -163.45 -118.92 -116.32 -158.60 -54.55 -88.79 -122.63 -63.87 -103.58 -143.25 eV for the cell shown.